Record 1
Entry from Alexandria via LeMat-Bulk: an optimized crystal structure of TlFeRh (PBE-GGA).

Geometry as POSCAR:
```
TlFeRh
1.0
2.9497 0.0000 0.0000
1.4199 3.9608 0.0000
1.4413 0.3525 9.7729
Tl Fe Rh
2 2 2
Cartesian
0.7156 1.2040 1.3543
5.0952 3.1094 8.4185
2.1599 3.0153 5.4306
3.6509 1.2981 4.3423
2.2030 0.8114 6.5554
3.6078 3.5019 3.2174
```

Results
As for the space group: P-1 (2). For the energy above the most stable polymorph in this dataset, the calculation gives 23 meV/atom. As for the total energy: -5.843 eV/atom. As for the total magnetization: 7.1 μB per cell. The formation energy comes out at 0.22 eV per atom.



Record 2
Entry from Alexandria via LeMat-Bulk: an optimized crystal structure of TlFe4Rh (PBE-GGA).

Geometry as POSCAR:
```
TlFe4Rh
1.0
0.0000 3.4815 3.4815
3.4815 0.0000 3.4815
3.4815 3.4815 0.0000
Tl Fe Rh
1 4 1
Cartesian
0.0000 0.0000 0.0000
2.6106 2.6106 2.6106
4.3525 4.3525 2.6106
4.3525 2.6106 4.3525
2.6106 4.3525 4.3525
5.2223 5.2223 5.2223
```

Results
As for the space group: F-43m (216). As for the total energy: -7.044 eV/atom. As for the total magnetization: 11.3 μB per cell. The formation energy comes out at 0.22 eV per atom.



Record 3
Entry from Alexandria via LeMat-Bulk: an optimized crystal structure of TlFeRh (PBE-GGA).

Geometry as POSCAR:
```
TlFeRh
1.0
0.0000 3.0844 3.0844
3.0844 0.0000 3.0844
3.0844 3.0844 0.0000
Tl Fe Rh
1 1 1
Cartesian
0.0000 0.0000 0.0000
3.0844 3.0844 3.0844
1.5422 1.5422 1.5422
```

Results
As for the space group: F-43m (216). For the energy above the most stable polymorph in this dataset, the calculation gives 234 meV/atom. As for the total energy: -5.633 eV/atom. As for the total magnetization: 3.2 μB per cell. The formation energy comes out at 0.43 eV per atom.



Record 4
Entry from Alexandria via LeMat-Bulk: an optimized crystal structure of TlFeRh (PBE-GGA).

Geometry as POSCAR:
```
TlFeRh
1.0
6.9373 -1.5580 0.0000
6.9373 1.5580 0.0000
-0.6749 0.0000 4.6015
Tl Fe Rh
2 2 2
Cartesian
1.1280 0.0000 1.2815
12.0718 0.0000 3.3200
2.7974 0.0000 3.6570
10.4024 0.0000 0.9446
5.5813 0.0000 1.0478
7.6185 0.0000 3.5538
```

Results
As for the space group: C2/m (12). For the energy above the most stable polymorph in this dataset, the calculation gives 59 meV/atom. As for the total energy: -5.807 eV/atom. As for the total magnetization: 6.0 μB per cell. The formation energy comes out at 0.25 eV per atom.



Record 5
Entry from Alexandria via LeMat-Bulk: an optimized crystal structure of TlFeRh (PBE-GGA).

Geometry as POSCAR:
```
TlFeRh
1.0
2.0241 1.1686 8.2014
-2.0241 1.1686 8.2014
0.0000 -2.3373 8.2014
Tl Fe Rh
2 2 2
Cartesian
0.0000 0.0000 0.0000
0.0000 0.0000 5.9429
0.0000 0.0000 2.7719
0.0000 0.0000 11.7027
0.0000 0.0000 18.1546
0.0000 0.0000 20.8023
```

Results
As for the space group: R3m (160). For the energy above the most stable polymorph in this dataset, the calculation gives 48 meV/atom. As for the total energy: -5.819 eV/atom. As for the total magnetization: 7.0 μB per cell. The formation energy comes out at 0.24 eV per atom.



Record 6
Entry from Alexandria via LeMat-Bulk: an optimized crystal structure of TlFeRh2 (PBE-GGA).

Geometry as POSCAR:
```
TlFeRh2
1.0
-3.5363 3.5363 2.7752
3.5363 -3.5363 2.7752
3.5363 3.5363 -2.7752
Tl Fe Rh
2 2 4
Cartesian
0.0000 0.0000 0.0000
0.0000 3.5363 1.3876
3.5363 0.0000 1.3876
0.0000 0.0000 2.7752
1.7681 -1.4699 2.0814
2.0664 1.7681 0.6938
1.7681 5.0061 -0.6938
1.4699 1.7681 3.4689
```

Results
As for the space group: I-42d (122). As for the total energy: -5.964 eV/atom. As for the total magnetization: 8.6 μB per cell. The formation energy comes out at 0.42 eV per atom.



Record 7
Entry from Alexandria via LeMat-Bulk: an optimized crystal structure of TlFeRh4 (PBE-GGA).

Geometry as POSCAR:
```
TlFeRh4
1.0
0.0000 3.6563 3.6563
3.6563 0.0000 3.6563
3.6563 3.6563 0.0000
Tl Fe Rh
1 1 4
Cartesian
0.0000 0.0000 0.0000
5.4845 5.4845 5.4845
2.7437 2.7437 2.7437
4.5689 4.5689 2.7437
4.5689 2.7437 4.5689
2.7437 4.5689 4.5689
```

Results
As for the space group: F-43m (216). As for the total energy: -6.373 eV/atom. As for the total magnetization: 4.6 μB per cell. The formation energy comes out at 0.33 eV per atom.



Record 8
Entry from Alexandria via LeMat-Bulk: an optimized crystal structure of TlFeRh3 (PBE-GGA).

Geometry as POSCAR:
```
TlFeRh3
1.0
4.4977 0.0000 0.0000
0.0000 4.4977 0.0000
0.0000 0.0000 4.4977
Tl Fe Rh
1 1 3
Cartesian
0.0000 0.0000 0.0000
2.2488 2.2488 2.2488
0.0000 2.2488 2.2488
2.2488 0.0000 2.2488
2.2488 2.2488 0.0000
```

Results
As for the space group: Pm-3m (221). For the energy above the most stable polymorph in this dataset, the calculation gives 0 meV/atom. As for the total energy: -5.739 eV/atom. As for the total magnetization: 0.0 μB per cell. The formation energy comes out at 0.84 eV per atom.



Record 9
Entry from Alexandria via LeMat-Bulk: an optimized crystal structure of TlFeRh (PBE-GGA).

Geometry as POSCAR:
```
TlFeRh
1.0
4.1502 -1.8433 0.0000
4.1502 1.8433 0.0000
-1.5783 0.0000 7.1022
Tl Fe Rh
2 2 2
Cartesian
1.1923 0.0000 0.9336
5.5298 0.0000 6.1686
2.1682 0.0000 4.0066
4.5539 0.0000 3.0956
-0.2796 0.0000 4.8155
7.0017 0.0000 2.2867
```

Results
As for the space group: C2/m (12). For the energy above the most stable polymorph in this dataset, the calculation gives 17 meV/atom. As for the total energy: -5.850 eV/atom. As for the total magnetization: 6.8 μB per cell. The formation energy comes out at 0.21 eV per atom.



Record 10
Entry from Alexandria via LeMat-Bulk: an optimized crystal structure of TlFeRh (PBE-GGA).

Geometry as POSCAR:
```
TlFeRh
1.0
3.4396 -1.9892 0.0000
3.4396 1.9892 0.0000
-0.0308 0.0000 8.7942
Tl Fe Rh
2 2 2
Cartesian
1.1460 0.0000 3.1690
5.7023 0.0000 5.6253
1.1467 0.0000 0.3550
5.7016 0.0000 8.4393
3.4058 0.0000 7.4454
3.4425 0.0000 1.3488
```

Results
As for the space group: C2/m (12). For the energy above the most stable polymorph in this dataset, the calculation gives 76 meV/atom. As for the total energy: -5.790 eV/atom. As for the total magnetization: 6.9 μB per cell. The formation energy comes out at 0.27 eV per atom.



Record 11
Entry from Alexandria via LeMat-Bulk: an optimized crystal structure of TlFeRh (PBE-GGA).

Geometry as POSCAR:
```
TlFeRh
1.0
4.3861 0.0000 0.0000
-2.1931 3.7985 0.0000
0.0000 0.0000 3.0138
Tl Fe Rh
1 1 1
Cartesian
0.0000 0.0000 0.0000
2.1931 1.2662 1.2803
0.0000 2.5323 1.6576
```

Results
As for the space group: P3m1 (156). For the energy above the most stable polymorph in this dataset, the calculation gives 132 meV/atom. As for the total energy: -5.734 eV/atom. As for the total magnetization: 3.4 μB per cell. The formation energy comes out at 0.33 eV per atom.



Record 12
Entry from Alexandria via LeMat-Bulk: an optimized crystal structure of TlFeRh (PBE-GGA).

Geometry as POSCAR:
```
TlFeRh
1.0
2.9554 0.0000 0.0000
-1.4698 4.0011 0.0000
-0.0148 -1.0342 9.9574
Tl Fe Rh
2 2 2
Cartesian
0.0000 0.0000 0.0000
-0.0194 0.2572 3.0743
-0.0191 0.2289 6.0111
-0.0132 2.4882 7.1144
1.4627 0.7198 8.1914
1.4603 1.9993 4.9070
```

Results
As for the space group: P1 (1). For the energy above the most stable polymorph in this dataset, the calculation gives 20 meV/atom. As for the total energy: -5.846 eV/atom. As for the total magnetization: 7.1 μB per cell. The formation energy comes out at 0.21 eV per atom.



Record 13
Entry from Alexandria via LeMat-Bulk: an optimized crystal structure of TlFeRh (PBE-GGA).

Geometry as POSCAR:
```
TlFeRh
1.0
-1.5271 1.7429 4.7025
1.5271 -1.7429 4.7025
1.5271 1.7429 -4.7025
Tl Fe Rh
1 1 1
Cartesian
0.0000 0.0000 0.0000
0.0000 0.0000 2.9797
0.0000 0.0000 6.4646
```

Results
As for the space group: Imm2 (44). For the energy above the most stable polymorph in this dataset, the calculation gives 78 meV/atom. As for the total energy: -5.788 eV/atom. As for the total magnetization: 3.5 μB per cell. The formation energy comes out at 0.27 eV per atom.